*w*
# PBE In2Ni2Bi, optimized geometry
data_In2Ni2Bi
_cell_length_a 8.052
_cell_length_b 8.052
_cell_length_c 2.993
_cell_angle_alpha 90.00
_cell_angle_beta 90.00
_cell_angle_gamma 90.00
_symmetry_space_group_name_H-M 'P 1'
_symmetry_Int_Tables_number 1
loop_
_symmetry_equiv_pos_as_xyz
'x,y,z'
loop_
_atom_site_label
_atom_site_type_symbol
_atom_site_fract_x
_atom_site_fract_y
_atom_site_fract_z
Ni1 Ni 0.160 0.660 0.500
Ni2 Ni 0.660 0.840 0.500
Ni3 Ni 0.840 0.340 0.500
Ni4 Ni 0.340 0.160 0.500
Bi1 Bi 0.000 0.000 0.000
Bi2 Bi 0.500 0.500 0.000
In1 In 0.367 0.867 0.000
In2 In 0.867 0.633 0.000
In3 In 0.633 0.133 0.000
In4 In 0.133 0.367 0.000
# N(E_F), states/eV/atom: 0.380

---

*x*
# PBE In2Ni2Bi, optimized geometry
data_In2Ni2Bi
_cell_length_a 4.167
_cell_length_b 4.167
_cell_length_c 6.684
_cell_angle_alpha 71.84
_cell_angle_beta 71.84
_cell_angle_gamma 90.00
_symmetry_space_group_name_H-M 'P 1'
_symmetry_Int_Tables_number 1
loop_
_symmetry_equiv_pos_as_xyz
'x,y,z'
loop_
_atom_site_label
_atom_site_type_symbol
_atom_site_fract_x
_atom_site_fract_y
_atom_site_fract_z
Ni1 Ni 0.750 0.250 0.500
Ni2 Ni 0.250 0.750 0.500
Bi1 Bi 0.000 0.000 0.000
In1 In 0.376 0.376 0.247
In2 In 0.624 0.624 0.753
# N(E_F), states/eV/atom: 0.511

---

*y*
# PBE In2Ni2Bi, optimized geometry
data_In2Ni2Bi
_cell_length_a 7.587
_cell_length_b 7.587
_cell_length_c 3.310
_cell_angle_alpha 90.00
_cell_angle_beta 90.00
_cell_angle_gamma 90.00
_symmetry_space_group_name_H-M 'P 1'
_symmetry_Int_Tables_number 1
loop_
_symmetry_equiv_pos_as_xyz
'x,y,z'
loop_
_atom_site_label
_atom_site_type_symbol
_atom_site_fract_x
_atom_site_fract_y
_atom_site_fract_z
Ni1 Ni 0.365 0.865 0.000
Ni2 Ni 0.865 0.635 0.000
Ni3 Ni 0.635 0.135 0.000
Ni4 Ni 0.135 0.365 0.000
Bi1 Bi 0.000 0.000 0.000
Bi2 Bi 0.500 0.500 0.000
In1 In 0.156 0.656 0.500
In2 In 0.656 0.844 0.500
In3 In 0.844 0.344 0.500
In4 In 0.344 0.156 0.500
# N(E_F), states/eV/atom: 0.622

---

*z*
# PBE In2Ni2Bi, optimized geometry
data_In2Ni2Bi
_cell_length_a 4.082
_cell_length_b 4.082
_cell_length_c 6.624
_cell_angle_alpha 72.05
_cell_angle_beta 72.05
_cell_angle_gamma 90.00
_symmetry_space_group_name_H-M 'P 1'
_symmetry_Int_Tables_number 1
loop_
_symmetry_equiv_pos_as_xyz
'x,y,z'
loop_
_atom_site_label
_atom_site_type_symbol
_atom_site_fract_x
_atom_site_fract_y
_atom_site_fract_z
Ni1 Ni 0.398 0.398 0.204
Ni2 Ni 0.602 0.602 0.796
Bi1 Bi 0.000 0.000 0.000
In1 In 0.750 0.250 0.500
In2 In 0.250 0.750 0.500
# N(E_F), states/eV/atom: 0.579

---

The energy of each structure relative to the most stable one, in meV/atom, is as follows: *w* 97; *x* 165; *y* 0; *z* 66.

---

*w*
# PBE InNi2Bi, optimized geometry
data_InNi2Bi
_cell_length_a 4.644
_cell_length_b 4.644
_cell_length_c 4.644
_cell_angle_alpha 60.00
_cell_angle_beta 60.00
_cell_angle_gamma 60.00
_symmetry_space_group_name_H-M 'P 1'
_symmetry_Int_Tables_number 1
loop_
_symmetry_equiv_pos_as_xyz
'x,y,z'
loop_
_atom_site_label
_atom_site_type_symbol
_atom_site_fract_x
_atom_site_fract_y
_atom_site_fract_z
Ni1 Ni 0.250 0.250 0.250
Ni2 Ni 0.750 0.750 0.750
Bi1 Bi 0.500 0.500 0.500
In1 In 0.000 0.000 0.000
# N(E_F), states/eV/atom: 0.701

---

*x*
# PBE InNi2Bi, optimized geometry
data_InNi2Bi
_cell_length_a 4.437
_cell_length_b 4.437
_cell_length_c 8.947
_cell_angle_alpha 75.64
_cell_angle_beta 75.64
_cell_angle_gamma 90.00
_symmetry_space_group_name_H-M 'P 1'
_symmetry_Int_Tables_number 1
loop_
_symmetry_equiv_pos_as_xyz
'x,y,z'
loop_
_atom_site_label
_atom_site_type_symbol
_atom_site_fract_x
_atom_site_fract_y
_atom_site_fract_z
Ni1 Ni 0.625 0.125 0.250
Ni2 Ni 0.125 0.625 0.250
Ni3 Ni 0.375 0.375 0.750
Ni4 Ni 0.875 0.875 0.750
Bi1 Bi 0.000 0.000 0.000
Bi2 Bi 0.750 0.250 0.500
In1 In 0.500 0.500 0.000
In2 In 0.250 0.750 0.500
# N(E_F), states/eV/atom: 0.633

---

The energy of each structure relative to the most stable one, in meV/atom, is as follows: *w* 0; *x* 187.

---

*w*
# PBE In3NiBi, optimized geometry
data_In3NiBi
_cell_length_a 5.885
_cell_length_b 5.885
_cell_length_c 5.885
_cell_angle_alpha 90.00
_cell_angle_beta 90.00
_cell_angle_gamma 90.00
_symmetry_space_group_name_H-M 'P 1'
_symmetry_Int_Tables_number 1
loop_
_symmetry_equiv_pos_as_xyz
'x,y,z'
loop_
_atom_site_label
_atom_site_type_symbol
_atom_site_fract_x
_atom_site_fract_y
_atom_site_fract_z
Ni1 Ni 0.500 0.500 0.500
Bi1 Bi 0.000 0.000 0.000
In1 In 0.000 0.500 0.000
In2 In 0.000 0.000 0.500
In3 In 0.500 0.000 0.000
# N(E_F), states/eV/atom: 1.453

---

*x*
# PBE In3NiBi, optimized geometry
data_In3NiBi
_cell_length_a 5.051
_cell_length_b 5.051
_cell_length_c 5.051
_cell_angle_alpha 90.00
_cell_angle_beta 90.00
_cell_angle_gamma 90.00
_symmetry_space_group_name_H-M 'P 1'
_symmetry_Int_Tables_number 1
loop_
_symmetry_equiv_pos_as_xyz
'x,y,z'
loop_
_atom_site_label
_atom_site_type_symbol
_atom_site_fract_x
_atom_site_fract_y
_atom_site_fract_z
Ni1 Ni 0.000 0.000 0.000
Bi1 Bi 0.500 0.500 0.500
In1 In 0.000 0.500 0.000
In2 In 0.000 0.000 0.500
In3 In 0.500 0.000 0.000
# N(E_F), states/eV/atom: 0.962

---

The energy of each structure relative to the most stable one, in meV/atom, is as follows: *w* 1037; *x* 0.